{"formula": "AuBrN2F", "functional": "PBE-GGA", "state": "relaxed", "lattice": [[-1.056, -2.736, -2.327], [0.245, -2.475, 2.799], [-5.311, 0.945, 1.300]], "species": ["N", "N", "Au", "Br", "F"], "fractional_positions": [[0.000, 0.500, 0.000], [0.500, 0.000, 0.000], [0.500, 0.500, 0.500], [0.000, 0.000, 0.000], [0.000, 0.000, 0.500]], "raw_formation_energy_mev_per_atom": 1898, "m_tot_mub_per_fu": 0.3, "e_above_lowest_polymorph_kj_per_mol_atoms": 38.9}

=====

{"formula": "LaYI6", "functional": "PBE-GGA", "state": "relaxed", "lattice": [[-7.599, -1.485, -0.600], [-2.774, -6.953, 2.054], [-4.436, -0.485, 7.067]], "species": ["La", "Y", "I", "I", "I", "I", "I", "I"], "fractional_positions": [[0.500, 0.500, 0.500], [0.000, 0.000, 0.000], [0.081, 0.406, 0.755], [0.758, 0.081, 0.756], [0.594, 0.242, 0.245], [0.242, 0.919, 0.244], [0.919, 0.594, 0.245], [0.406, 0.758, 0.755]], "raw_formation_energy_mev_per_atom": -1400, "m_tot_mub_per_fu": 0.0}

=====

Quick rundown of D(E_F), same order as above: 2.1 0.0 states/eV per cell